(1)
Entry from Alexandria: an optimized crystal structure of CaHPt2 (PBE).

a = 4.4932 Å, b = 4.4932 Å, c = 4.4932 Å
α = 60.00°, β = 60.00°, γ = 60.00°
With the nearest neighbours (Å) after each atom.
Sites, in units of the cell vectors:
H (0.0000, 0.0000, 0.0000)  8 Pt 2.75
Ca (0.5000, 0.5000, 0.5000)  8 Pt 2.75
Pt (0.2500, 0.2500, 0.2500)  4 Ca 2.75, 4 H 2.75
Pt (0.7500, 0.7500, 0.7500)  4 H 2.75, 4 Ca 2.75

## Properties
SG: No. 225

=====

(2)
Entry from Alexandria: an optimized crystal structure of Ca2H8Pt (PBE).

a = 3.7035 Å, b = 4.1800 Å, c = 7.1718 Å
α = 106.99°, β = 104.96°, γ = 90.00°
With the nearest neighbours (Å) after each atom.
Sites, in units of the cell vectors:
Ca (0.8437, 0.3436, 0.6875)  10 H 2.26-2.41
Ca (0.1563, 0.6564, 0.3125)  10 H 2.26-2.41
H (0.4036, 0.6490, 0.8072)  1 Pt 1.66
H (0.5976, 0.8478, 0.1952)  1 Pt 1.66
H (0.7612, 0.7611, 0.5225)  4 Ca 2.31-2.36, 2 H 2.40-2.41
H (0.9999, 0.2003, 0.9997)  1 H 1.68
H (0.2388, 0.2389, 0.4775)  4 Ca 2.31-2.36, 2 H 2.40-2.41
H (0.4024, 0.1522, 0.8048)  1 Pt 1.66
H (0.5964, 0.3510, 0.1928)  1 Pt 1.66
H (0.0001, 0.7997, 0.0003)  1 H 1.68
Pt (0.5000, 0.0000, 0.0000)  4 H 1.66

## Properties
SG: No. 12

=====

(3)
Entry from Alexandria: an optimized crystal structure of Ca4HPt2 (PBE).

a = 4.5269 Å, b = 4.5269 Å, c = 8.3839 Å
α = 74.34°, β = 74.34°, γ = 90.00°
With the nearest neighbours (Å) after each atom.
Sites, in units of the cell vectors:
H (0.0000, 0.0000, 0.0000)  4 Ca 2.26
Ca (0.8171, 0.8171, 0.3658)  1 H 2.83, 1 Pt 2.93
Ca (0.1829, 0.1829, 0.6342)  1 H 2.83, 1 Pt 2.93
Ca (0.0000, 0.5000, 0.0000)  2 H 2.26
Ca (0.5000, 0.0000, 0.0000)  2 H 2.26
Pt (0.6281, 0.6281, 0.7438)  5 Ca 2.93-3.01
Pt (0.3719, 0.3719, 0.2562)  5 Ca 2.93-3.01

## Properties
SG: No. 139

=====

(4)
Entry from Alexandria: an optimized crystal structure of CaH12Pt6 (PBE).

a = 6.0527 Å, b = 6.0527 Å, c = 6.0527 Å
α = 109.16°, β = 109.16°, γ = 109.16°
With the nearest neighbours (Å) after each atom.
Sites, in units of the cell vectors:
Ca (0.0000, 0.0000, 0.0000)  12 H 2.66-2.72
H (0.4246, 0.1931, 0.4688)  3 Pt 1.83-1.98
H (0.1931, 0.4688, 0.4246)  3 Pt 1.83-1.98
H (0.4688, 0.4246, 0.1931)  3 Pt 1.83-1.98
H (0.5754, 0.8069, 0.5312)  3 Pt 1.83-1.98
H (0.8069, 0.5312, 0.5754)  3 Pt 1.83-1.98
H (0.5312, 0.5754, 0.8069)  3 Pt 1.83-1.98
H (0.1635, 0.9613, 0.6276)  3 Pt 1.77-1.97
H (0.3724, 0.8365, 0.0387)  3 Pt 1.77-1.97
H (0.0387, 0.3724, 0.8365)  3 Pt 1.77-1.97
H (0.8365, 0.0387, 0.3724)  3 Pt 1.77-1.97
H (0.6276, 0.1635, 0.9613)  3 Pt 1.77-1.97
H (0.9613, 0.6276, 0.1635)  3 Pt 1.77-1.97
Pt (0.1818, 0.2694, 0.5949)  6 H 1.77-1.98
Pt (0.7306, 0.4051, 0.8182)  6 H 1.77-1.98
Pt (0.4051, 0.8182, 0.7306)  6 H 1.77-1.98
Pt (0.8182, 0.7306, 0.4051)  6 H 1.77-1.98
Pt (0.2694, 0.5949, 0.1818)  6 H 1.77-1.98
Pt (0.5949, 0.1818, 0.2694)  6 H 1.77-1.98

## Properties
SG: No. 148

=====

(5)
Entry from Alexandria: an optimized crystal structure of Ca2H4Pt (PBE).

a = 3.7076 Å, b = 3.7076 Å, c = 7.3838 Å
α = 75.46°, β = 75.46°, γ = 90.00°
With the nearest neighbours (Å) after each atom.
Sites, in units of the cell vectors:
H (0.1263, 0.1263, 0.7474)  1 Pt 1.74
H (0.8737, 0.8737, 0.2526)  1 Pt 1.74
H (0.0000, 0.5000, 0.0000)  2 Pt 1.85
H (0.5000, 0.0000, 0.0000)  2 Pt 1.85
Ca (0.3660, 0.3660, 0.2681)  8 H 2.62
Ca (0.6340, 0.6340, 0.7319)  8 H 2.62
Pt (0.0000, 0.0000, 0.0000)  6 H 1.74-1.85

## Properties
SG: No. 139

=====

(6)
Entry from Alexandria: an optimized crystal structure of CaHPt (PBE).

a = 4.0585 Å, b = 3.6888 Å, c = 3.6888 Å
α = 120.00°, β = 90.00°, γ = 90.00°
With the nearest neighbours (Å) after each atom.
Sites, in units of the cell vectors:
H (0.1667, 0.6667, 0.3333)  3 Pt 2.13
Ca (0.6666, 0.3333, 0.6667)  6 Pt 2.94, 6 H 2.94
Pt (0.1667, 0.0000, 0.0000)  3 H 2.13

## Properties
SG: No. 187

=====

(7)
Entry from Alexandria: an optimized crystal structure of Ca2H2Pt (PBE).

a = 3.2765 Å, b = 6.6515 Å, c = 8.7682 Å
α = 124.68°, β = 100.77°, γ = 90.00°
With the nearest neighbours (Å) after each atom.
Sites, in units of the cell vectors:
Ca (0.6350, 0.2033, 0.2709)  5 H 2.39-2.48
Ca (0.6359, 0.7033, 0.2709)  5 H 2.39-2.48
Ca (0.3650, 0.7967, 0.7291)  5 H 2.39-2.48
Ca (0.3641, 0.2967, 0.7291)  5 H 2.39-2.48
H (0.8060, 0.4587, 0.6118)  5 Ca 2.39-2.48
H (0.1942, 0.0413, 0.3882)  5 Ca 2.39-2.48
H (0.1940, 0.5413, 0.3882)  5 Ca 2.39-2.48
H (0.8058, 0.9587, 0.6118)  5 Ca 2.39-2.48
Pt (0.0000, 0.7500, 0.0000)  2 H 2.73, 8 Ca 3.01
Pt (0.0000, 0.2500, 0.0000)  2 H 2.73, 8 Ca 3.01

## Properties
SG: No. 71

=====

(8)
Entry from Alexandria: an optimized crystal structure of Ca12H5Pt3 (PBE).

a = 13.4917 Å, b = 13.4917 Å, c = 13.4917 Å
α = 109.47°, β = 109.47°, γ = 109.47°
With the nearest neighbours (Å) after each atom.
Sites, in units of the cell vectors:
Pt (0.7500, 0.3750, 0.1250)  8 Ca 2.99-3.06
Pt (0.8750, 0.7500, 0.1250)  8 Ca 2.99-3.06
Pt (0.3750, 0.7500, 0.6250)  8 Ca 2.99-3.06
Pt (0.2500, 0.1250, 0.3750)  8 Ca 2.99-3.06
Pt (0.8750, 0.1250, 0.2500)  8 Ca 2.99-3.06
Pt (0.3750, 0.6250, 0.2500)  8 Ca 2.99-3.06
Pt (0.6250, 0.3750, 0.7500)  8 Ca 2.99-3.06
Pt (0.1250, 0.8750, 0.7500)  8 Ca 2.99-3.06
Pt (0.7500, 0.8750, 0.6250)  8 Ca 2.99-3.06
Pt (0.6250, 0.2500, 0.3750)  8 Ca 2.99-3.06
Pt (0.1250, 0.2500, 0.8750)  8 Ca 2.99-3.06
Pt (0.2500, 0.6250, 0.8750)  8 Ca 2.99-3.06
H (0.1250, 0.3750, 0.2500)  4 Ca 2.26
H (0.0000, 0.5000, 0.0000)  6 Ca 2.63
H (0.0000, 0.0000, 0.0000)  6 Ca 2.63
H (0.3750, 0.2500, 0.1250)  4 Ca 2.26
H (0.5000, 0.0000, 0.5000)  6 Ca 2.63
H (0.5000, 0.5000, 0.0000)  6 Ca 2.63
H (0.1250, 0.7500, 0.3750)  4 Ca 2.26
H (0.7500, 0.1250, 0.8750)  4 Ca 2.26
H (0.7500, 0.6250, 0.3750)  4 Ca 2.26
H (0.3750, 0.1250, 0.7500)  4 Ca 2.26
H (0.6250, 0.8750, 0.2500)  4 Ca 2.26
H (0.5000, 0.5000, 0.5000)  6 Ca 2.63
H (0.5000, 0.0000, 0.0000)  6 Ca 2.63
H (0.0000, 0.0000, 0.5000)  6 Ca 2.63
H (0.2500, 0.3750, 0.6250)  4 Ca 2.26
H (0.2500, 0.8750, 0.1250)  4 Ca 2.26
H (0.0000, 0.5000, 0.5000)  6 Ca 2.63
H (0.8750, 0.2500, 0.6250)  4 Ca 2.26
H (0.6250, 0.7500, 0.8750)  4 Ca 2.26
H (0.8750, 0.6250, 0.7500)  4 Ca 2.26
Ca (0.7138, 0.1243, 0.0271)  1 H 2.26
Ca (0.3132, 0.5271, 0.4028)  1 H 2.26
Ca (0.9729, 0.3757, 0.2862)  1 H 2.26
Ca (0.5271, 0.2138, 0.1243)  1 H 2.26
Ca (0.5896, 0.7138, 0.6868)  1 H 2.26
Ca (0.9729, 0.5972, 0.1868)  1 H 2.26
Ca (0.3132, 0.7862, 0.4104)  1 H 2.26
Ca (0.0972, 0.9104, 0.1243)  1 H 2.26
Ca (0.5972, 0.9729, 0.6868)  1 H 2.26
Ca (0.7138, 0.5896, 0.1868)  1 H 2.26
Ca (0.7862, 0.4729, 0.3757)  1 H 2.26
Ca (0.8132, 0.9028, 0.0271)  1 H 2.26
Ca (0.1243, 0.7138, 0.5271)  1 H 2.26
Ca (0.3757, 0.4028, 0.0896)  1 H 2.26
Ca (0.0896, 0.9028, 0.3757)  1 H 2.26
Ca (0.4104, 0.1243, 0.5972)  1 H 2.26
Ca (0.0896, 0.1868, 0.2138)  1 H 2.26
Ca (0.4729, 0.6868, 0.0972)  1 H 2.26
Ca (0.8132, 0.9104, 0.2862)  1 H 2.26
Ca (0.1243, 0.4104, 0.0972)  1 H 2.26
Ca (0.3757, 0.9729, 0.7862)  1 H 2.26
Ca (0.5972, 0.6243, 0.4104)  1 H 2.26
Ca (0.9028, 0.8132, 0.5271)  1 H 2.26
Ca (0.7862, 0.3132, 0.9104)  1 H 2.26
Ca (0.4028, 0.3757, 0.5896)  1 H 2.26
Ca (0.0972, 0.1868, 0.4729)  1 H 2.26
Ca (0.2138, 0.6868, 0.0896)  1 H 2.26
Ca (0.1868, 0.0896, 0.7138)  1 H 2.26
Ca (0.6243, 0.0271, 0.2138)  1 H 2.26
Ca (0.8757, 0.5896, 0.9028)  1 H 2.26
Ca (0.5271, 0.3132, 0.9028)  1 H 2.26
Ca (0.5896, 0.8757, 0.4028)  1 H 2.26
Ca (0.9104, 0.8132, 0.7862)  1 H 2.26
Ca (0.9104, 0.0972, 0.6243)  1 H 2.26
Ca (0.8757, 0.2862, 0.4729)  1 H 2.26
Ca (0.1868, 0.0972, 0.9729)  1 H 2.26
Ca (0.6243, 0.5972, 0.9104)  1 H 2.26
Ca (0.4028, 0.0271, 0.3132)  1 H 2.26
Ca (0.2862, 0.4104, 0.8132)  1 H 2.26
Ca (0.2138, 0.5271, 0.6243)  1 H 2.26
Ca (0.9028, 0.0896, 0.8757)  1 H 2.26
Ca (0.6868, 0.2138, 0.5896)  1 H 2.26
Ca (0.4729, 0.7862, 0.8757)  1 H 2.26
Ca (0.0271, 0.4028, 0.8132)  1 H 2.26
Ca (0.4104, 0.2862, 0.3132)  1 H 2.26
Ca (0.0271, 0.6243, 0.7138)  1 H 2.26
Ca (0.6868, 0.4729, 0.5972)  1 H 2.26
Ca (0.2862, 0.8757, 0.9729)  1 H 2.26

## Properties
SG: No. 230

=====

(9)
Entry from Alexandria: an optimized crystal structure of CaHPt (PBE).

a = 3.5743 Å, b = 3.5743 Å, c = 7.2704 Å
α = 90.00°, β = 90.00°, γ = 90.00°
With the nearest neighbours (Å) after each atom.
Sites, in units of the cell vectors:
Ca (0.0000, 0.0000, 0.7500)  4 H 2.55
Ca (0.0000, 0.0000, 0.2500)  4 H 2.55
H (0.5000, 0.0000, 0.5000)  2 Pt 1.79
H (0.0000, 0.5000, 0.0000)  2 Pt 1.79
Pt (0.5000, 0.5000, 0.0000)  2 H 1.79
Pt (0.5000, 0.5000, 0.5000)  2 H 1.79

## Properties
SG: No. 131

=====

(10)
Entry from Alexandria: an optimized crystal structure of CaH6Pt3 (PBE).

a = 4.8733 Å, b = 4.8734 Å, c = 5.6718 Å
α = 90.00°, β = 115.44°, γ = 120.00°
With the nearest neighbours (Å) after each atom.
Sites, in units of the cell vectors:
Ca (0.7001, 0.8501, 0.5502)  12 H 2.68-2.69
H (0.3674, 0.4088, 0.7767)  2 Pt 1.69-1.85
H (0.0318, 0.7413, 0.3232)  2 Pt 1.69-1.85
H (0.0326, 0.2914, 0.3232)  2 Pt 1.69-1.85
H (0.3679, 0.9586, 0.7767)  2 Pt 1.69-1.85
H (0.8181, 0.4093, 0.7767)  2 Pt 1.69-1.85
H (0.5820, 0.2906, 0.3232)  2 Pt 1.69-1.85
Pt (0.6999, 0.3500, 0.0499)  6 H 1.85
Pt (0.2767, 0.6384, 0.9151)  3 H 1.69
Pt (0.1234, 0.0617, 0.1851)  3 H 1.69

## Properties
SG: No. 166

=====

(11)
Entry from Alexandria: an optimized crystal structure of Ca2H2Pt (PBE).

a = 6.9734 Å, b = 6.9734 Å, c = 3.0953 Å
α = 90.00°, β = 90.00°, γ = 90.00°
With the nearest neighbours (Å) after each atom.
Sites, in units of the cell vectors:
H (0.3802, 0.8802, 0.0000)  1 H 2.36, 6 Ca 2.54-2.61
H (0.8802, 0.6198, 0.0000)  1 H 2.36, 6 Ca 2.54-2.61
H (0.6198, 0.1198, 0.0000)  1 H 2.36, 6 Ca 2.54-2.61
H (0.1198, 0.3802, 0.0000)  1 H 2.36, 6 Ca 2.54-2.61
Ca (0.1761, 0.6761, 0.5000)  6 H 2.54-2.61
Ca (0.6761, 0.8239, 0.5000)  6 H 2.54-2.61
Ca (0.8239, 0.3239, 0.5000)  6 H 2.54-2.61
Ca (0.3239, 0.1761, 0.5000)  6 H 2.54-2.61
Pt (0.0000, 0.0000, 0.0000)  4 H 2.78, 8 Ca 3.00, 2 Pt 3.10
Pt (0.5000, 0.5000, 0.0000)  4 H 2.78, 8 Ca 3.00, 2 Pt 3.10

## Properties
SG: No. 127

=====

(12)
Entry from Alexandria: an optimized crystal structure of CaHPt2 (PBE).

a = 5.7100 Å, b = 5.7100 Å, c = 5.7089 Å
α = 59.99°, β = 59.99°, γ = 90.00°
With the nearest neighbours (Å) after each atom.
Sites, in units of the cell vectors:
H (0.5000, 0.5000, 0.0000)  4 Pt 1.75
H (0.2500, 0.7500, 0.5000)  4 Pt 1.75
Ca (0.0000, 0.0000, 0.0000)  12 Pt 3.35, 4 H 3.50, 4 Ca 3.50
Ca (0.7500, 0.2500, 0.5000)  12 Pt 3.35, 4 H 3.50, 4 Ca 3.50
Pt (0.3755, 0.1250, 0.2500)  2 H 1.75
Pt (0.3745, 0.6250, 0.2500)  2 H 1.75
Pt (0.3750, 0.6245, 0.7500)  2 H 1.75
Pt (0.8750, 0.6255, 0.7500)  2 H 1.75

## Properties
SG: No. 227

=====

In order of appearance, raw total energy = -4.09, -3.61, -4.03, -4.22, -3.82, -4.19, -3.95, -3.47, -4.51, -4.28, -3.83, -4.91 eV/atom.